Record 1
# Tb3Pr4Dy2 PBE optimized geometry
data_Tb3Pr4Dy2
_chemical_formula_sum 'Tb3 Pr4 Dy2'
_symmetry_space_group_name_H-M 'P 1'
_symmetry_Int_Tables_number 1
_cell_length_a 3.672
_cell_length_b 6.732
_cell_length_c 14.643
_cell_angle_alpha 64.25
_cell_angle_beta 90.00
_cell_angle_gamma 105.82
loop_
_symmetry_equiv_pos_as_xyz
'x,y,z'
loop_
_atom_site_label
_atom_site_type_symbol
_atom_site_fract_x
_atom_site_fract_y
_atom_site_fract_z
Tb1 Tb 0.380 0.761 0.612
Tb2 Tb 0.000 0.000 0.000
Tb3 Tb 0.620 0.239 0.388
Pr1 Pr 0.649 0.298 0.128
Pr2 Pr 0.109 0.218 0.608
Pr3 Pr 0.891 0.782 0.392
Pr4 Pr 0.351 0.702 0.872
Dy1 Dy 0.339 0.678 0.209
Dy2 Dy 0.661 0.322 0.791
# Crystal system ... monoclinic
# Magnetization ... 0.000 μB per formula unit
# Energy ... -4.60 eV/atom
# Calculated density ... 7.30 Mg/m³
# SG ... No. 12



Record 2
# CdAgPd2Au PBE optimized geometry
data_CdAgPd2Au
_chemical_formula_sum 'Cd2 Ag2 Pd4 Au2'
_symmetry_space_group_name_H-M 'P 1'
_symmetry_Int_Tables_number 1
_cell_length_a 2.857
_cell_length_b 11.862
_cell_length_c 5.580
_cell_angle_alpha 70.74
_cell_angle_beta 90.00
_cell_angle_gamma 90.00
loop_
_symmetry_equiv_pos_as_xyz
'x,y,z'
loop_
_atom_site_label
_atom_site_type_symbol
_atom_site_fract_x
_atom_site_fract_y
_atom_site_fract_z
Cd1 Cd 0.250 0.978 0.761
Cd2 Cd 0.750 0.022 0.239
Ag1 Ag 0.250 0.407 0.951
Ag2 Ag 0.750 0.593 0.049
Pd1 Pd 0.750 0.800 0.636
Pd2 Pd 0.750 0.806 0.143
Pd3 Pd 0.250 0.200 0.364
Pd4 Pd 0.250 0.194 0.857
Au1 Au 0.250 0.615 0.513
Au2 Au 0.750 0.385 0.487
# Crystal system ... monoclinic
# Magnetization ... 0.000 μB per formula unit
# Energy ... -3.55 eV/atom
# Calculated density ... 11.72 Mg/m³
# SG ... No. 11



Record 3
# Ce2ThSe4 PBE optimized geometry
data_Ce2ThSe4
_chemical_formula_sum 'Ce4 Th2 Se8'
_symmetry_space_group_name_H-M 'P 1'
_symmetry_Int_Tables_number 1
_cell_length_a 7.695
_cell_length_b 7.695
_cell_length_c 7.695
_cell_angle_alpha 109.53
_cell_angle_beta 109.35
_cell_angle_gamma 109.53
loop_
_symmetry_equiv_pos_as_xyz
'x,y,z'
loop_
_atom_site_label
_atom_site_type_symbol
_atom_site_fract_x
_atom_site_fract_y
_atom_site_fract_z
Ce1 Ce 0.875 0.125 0.500
Ce2 Ce 0.500 0.375 0.625
Ce3 Ce 0.375 0.875 0.750
Ce4 Ce 0.250 0.625 0.125
Th1 Th 0.000 0.000 0.000
Th2 Th 0.750 0.500 0.250
Se1 Se 0.123 0.902 0.373
Se2 Se 0.627 0.750 0.529
Se3 Se 0.972 0.598 0.721
Se4 Se 0.279 0.250 0.877
Se5 Se 0.627 0.750 0.028
Se6 Se 0.778 0.250 0.877
Se7 Se 0.471 0.098 0.222
Se8 Se 0.123 0.402 0.373
# Crystal system ... tetragonal
# Uncorrected formation energy ... -1.7556 eV/atom
# Magnetization ... 2.724 μB per formula unit
# Calculated density ... 7.84 Mg/m³
# SG ... No. 122



Record 4
# NaAc2ScO5 PBE optimized geometry
data_NaAc2ScO5
_chemical_formula_sum 'Na2 Ac4 Sc2 O10'
_symmetry_space_group_name_H-M 'P 1'
_symmetry_Int_Tables_number 1
_cell_length_a 3.718
_cell_length_b 7.312
_cell_length_c 10.313
_cell_angle_alpha 90.00
_cell_angle_beta 90.00
_cell_angle_gamma 104.73
loop_
_symmetry_equiv_pos_as_xyz
'x,y,z'
loop_
_atom_site_label
_atom_site_type_symbol
_atom_site_fract_x
_atom_site_fract_y
_atom_site_fract_z
Na1 Na 0.782 0.564 0.502
Na2 Na 0.218 0.436 0.002
Ac1 Ac 0.857 0.715 0.793
Ac2 Ac 0.115 0.229 0.688
Ac3 Ac 0.143 0.285 0.293
Ac4 Ac 0.885 0.771 0.188
Sc1 Sc 0.542 0.084 0.969
Sc2 Sc 0.458 0.916 0.469
O1 O 0.385 0.771 0.010
O2 O 0.676 0.353 0.861
O3 O 0.493 0.985 0.783
O4 O 0.287 0.574 0.671
O5 O 0.948 0.896 0.547
O6 O 0.615 0.229 0.510
O7 O 0.324 0.647 0.361
O8 O 0.507 0.015 0.283
O9 O 0.713 0.426 0.171
O10 O 0.052 0.104 0.047
# Crystal system ... orthorhombic
# Uncorrected formation energy ... -3.0269 eV/atom
# Magnetization ... 0.000 μB per formula unit
# Calculated density ... 7.37 Mg/m³
# SG ... No. 36



Record 5
# EuErCu2 PBE optimized geometry
data_EuErCu2
_chemical_formula_sum 'Eu1 Er1 Cu2'
_symmetry_space_group_name_H-M 'P 1'
_symmetry_Int_Tables_number 1
_cell_length_a 4.979
_cell_length_b 4.979
_cell_length_c 4.979
_cell_angle_alpha 60.00
_cell_angle_beta 60.00
_cell_angle_gamma 60.00
loop_
_symmetry_equiv_pos_as_xyz
'x,y,z'
loop_
_atom_site_label
_atom_site_type_symbol
_atom_site_fract_x
_atom_site_fract_y
_atom_site_fract_z
Eu1 Eu 0.000 0.000 0.000
Cu1 Cu 0.250 0.250 0.250
Cu2 Cu 0.750 0.750 0.750
Er1 Er 0.500 0.500 0.500
# Crystal system ... cubic
# Magnetization ... 6.970 μB per formula unit
# Energy ... -5.89 eV/atom
# Calculated density ... 8.49 Mg/m³
# SG ... No. 225



Record 6
# FeOsPt2 PBE optimized geometry
data_FeOsPt2
_chemical_formula_sum 'Fe2 Os2 Pt4'
_symmetry_space_group_name_H-M 'P 1'
_symmetry_Int_Tables_number 1
_cell_length_a 3.757
_cell_length_b 3.757
_cell_length_c 9.307
_cell_angle_alpha 78.36
_cell_angle_beta 78.36
_cell_angle_gamma 90.00
loop_
_symmetry_equiv_pos_as_xyz
'x,y,z'
loop_
_atom_site_label
_atom_site_type_symbol
_atom_site_fract_x
_atom_site_fract_y
_atom_site_fract_z
Os1 Os 0.000 0.000 0.000
Os2 Os 0.750 0.250 0.500
Fe1 Fe 0.500 0.500 0.000
Fe2 Fe 0.250 0.750 0.500
Pt1 Pt 0.624 0.125 0.250
Pt2 Pt 0.126 0.625 0.250
Pt3 Pt 0.375 0.376 0.750
Pt4 Pt 0.875 0.874 0.750
# Crystal system ... tetragonal
# Magnetization ... 2.647 μB per formula unit
# Energy ... -7.49 eV/atom
# Calculated density ... 16.79 Mg/m³
# SG ... No. 122



Record 7
# Na3Cd5I12 PBE optimized geometry
data_Na3Cd5I12
_chemical_formula_sum 'Na12 Cd20 I48'
_symmetry_space_group_name_H-M 'P 1'
_symmetry_Int_Tables_number 1
_cell_length_a 16.271
_cell_length_b 16.271
_cell_length_c 16.271
_cell_angle_alpha 109.47
_cell_angle_beta 109.47
_cell_angle_gamma 109.47
loop_
_symmetry_equiv_pos_as_xyz
'x,y,z'
loop_
_atom_site_label
_atom_site_type_symbol
_atom_site_fract_x
_atom_site_fract_y
_atom_site_fract_z
Na1 Na 0.750 0.375 0.125
Na2 Na 0.875 0.750 0.125
Na3 Na 0.375 0.750 0.625
Na4 Na 0.250 0.125 0.375
Na5 Na 0.875 0.125 0.250
Na6 Na 0.375 0.625 0.250
Na7 Na 0.625 0.375 0.750
Na8 Na 0.125 0.875 0.750
Na9 Na 0.750 0.875 0.625
Na10 Na 0.625 0.250 0.375
Na11 Na 0.125 0.250 0.875
Na12 Na 0.250 0.625 0.875
Cd1 Cd 0.125 0.375 0.250
Cd2 Cd 0.000 0.500 0.000
Cd3 Cd 0.000 0.000 0.000
Cd4 Cd 0.375 0.250 0.125
Cd5 Cd 0.500 0.000 0.500
Cd6 Cd 0.500 0.500 0.000
Cd7 Cd 0.125 0.750 0.375
Cd8 Cd 0.750 0.125 0.875
Cd9 Cd 0.750 0.625 0.375
Cd10 Cd 0.375 0.125 0.750
Cd11 Cd 0.625 0.875 0.250
Cd12 Cd 0.500 0.500 0.500
Cd13 Cd 0.500 0.000 0.000
Cd14 Cd 0.000 0.000 0.500
Cd15 Cd 0.250 0.375 0.625
Cd16 Cd 0.250 0.875 0.125
Cd17 Cd 0.000 0.500 0.500
Cd18 Cd 0.875 0.250 0.625
Cd19 Cd 0.625 0.750 0.875
Cd20 Cd 0.875 0.625 0.750
I1 I 0.711 0.124 0.033
I2 I 0.322 0.533 0.409
I3 I 0.967 0.376 0.289
I4 I 0.533 0.211 0.124
I5 I 0.587 0.711 0.678
I6 I 0.967 0.591 0.178
I7 I 0.322 0.789 0.413
I8 I 0.091 0.913 0.124
I9 I 0.591 0.967 0.678
I10 I 0.711 0.587 0.178
I11 I 0.789 0.467 0.376
I12 I 0.822 0.909 0.033
I13 I 0.124 0.711 0.533
I14 I 0.376 0.409 0.087
I15 I 0.087 0.909 0.376
I16 I 0.413 0.124 0.591
I17 I 0.087 0.178 0.211
I18 I 0.467 0.678 0.091
I19 I 0.822 0.913 0.289
I20 I 0.124 0.413 0.091
I21 I 0.376 0.967 0.789
I22 I 0.591 0.624 0.413
I23 I 0.909 0.822 0.533
I24 I 0.789 0.322 0.913
I25 I 0.409 0.376 0.587
I26 I 0.091 0.178 0.467
I27 I 0.211 0.678 0.087
I28 I 0.178 0.087 0.711
I29 I 0.624 0.033 0.211
I30 I 0.876 0.587 0.909
I31 I 0.533 0.322 0.909
I32 I 0.587 0.876 0.409
I33 I 0.913 0.822 0.789
I34 I 0.913 0.091 0.624
I35 I 0.876 0.289 0.467
I36 I 0.178 0.091 0.967
I37 I 0.624 0.591 0.913
I38 I 0.409 0.033 0.322
I39 I 0.289 0.413 0.822
I40 I 0.211 0.533 0.624
I41 I 0.909 0.087 0.876
I42 I 0.678 0.211 0.587
I43 I 0.467 0.789 0.876
I44 I 0.033 0.409 0.822
I45 I 0.413 0.289 0.322
I46 I 0.033 0.624 0.711
I47 I 0.678 0.467 0.591
I48 I 0.289 0.876 0.967
# Crystal system ... cubic
# Uncorrected formation energy ... -0.6901 eV/atom
# Magnetization ... 0.000 μB per formula unit
# Calculated density ... 4.31 Mg/m³
# SG ... No. 230



Record 8
# BaCeGe2Pt2 PBE optimized geometry
data_BaCeGe2Pt2
_chemical_formula_sum 'Ba1 Ce1 Ge2 Pt2'
_symmetry_space_group_name_H-M 'P 1'
_symmetry_Int_Tables_number 1
_cell_length_a 4.392
_cell_length_b 4.392
_cell_length_c 8.698
_cell_angle_alpha 90.00
_cell_angle_beta 90.00
_cell_angle_gamma 120.00
loop_
_symmetry_equiv_pos_as_xyz
'x,y,z'
loop_
_atom_site_label
_atom_site_type_symbol
_atom_site_fract_x
_atom_site_fract_y
_atom_site_fract_z
Ba1 Ba 0.000 0.000 0.000
Ce1 Ce 0.000 0.000 0.500
Ge1 Ge 0.667 0.333 0.282
Ge2 Ge 0.333 0.667 0.718
Pt1 Pt 0.667 0.333 0.710
Pt2 Pt 0.333 0.667 0.290
# Crystal system ... trigonal
# Magnetization ... 0.000 μB per formula unit
# Energy ... -5.78 eV/atom
# Calculated density ... 9.29 Mg/m³
# SG ... No. 164



Record 9
# AgP2Br PBE optimized geometry
data_AgP2Br
_chemical_formula_sum 'Ag1 P2 Br1'
_symmetry_space_group_name_H-M 'P 1'
_symmetry_Int_Tables_number 1
_cell_length_a 3.058
_cell_length_b 3.058
_cell_length_c 12.172
_cell_angle_alpha 90.00
_cell_angle_beta 90.00
_cell_angle_gamma 128.12
loop_
_symmetry_equiv_pos_as_xyz
'x,y,z'
loop_
_atom_site_label
_atom_site_type_symbol
_atom_site_fract_x
_atom_site_fract_y
_atom_site_fract_z
Ag1 Ag 0.500 0.500 0.250
Br1 Br 0.500 0.500 0.750
P1 P 0.000 0.000 0.066
P2 P 0.000 0.000 0.434
# Crystal system ... orthorhombic
# Uncorrected formation energy ... 0.5878 eV/atom
# Magnetization ... 0.000 μB per formula unit
# Calculated density ... 4.63 Mg/m³
# SG ... No. 65



Record 10
# Ce8C4Cl3F PBE optimized geometry
data_Ce8C4Cl3F
_chemical_formula_sum 'Ce8 C4 Cl3 F1'
_symmetry_space_group_name_H-M 'P 1'
_symmetry_Int_Tables_number 1
_cell_length_a 7.367
_cell_length_b 8.005
_cell_length_c 7.367
_cell_angle_alpha 117.40
_cell_angle_beta 120.00
_cell_angle_gamma 90.00
loop_
_symmetry_equiv_pos_as_xyz
'x,y,z'
loop_
_atom_site_label
_atom_site_type_symbol
_atom_site_fract_x
_atom_site_fract_y
_atom_site_fract_z
Ce1 Ce 0.262 0.796 0.034
Ce2 Ce 0.262 0.796 0.525
Ce3 Ce 0.234 0.203 0.468
Ce4 Ce 0.771 0.796 0.034
Ce5 Ce 0.229 0.204 0.966
Ce6 Ce 0.766 0.797 0.532
Ce7 Ce 0.738 0.204 0.475
Ce8 Ce 0.738 0.204 0.966
C1 C 0.500 0.000 0.000
C2 C 0.500 0.000 0.500
C3 C 0.000 0.000 0.000
C4 C 0.000 0.000 0.500
Cl1 Cl 0.500 0.500 0.000
Cl2 Cl 0.500 0.500 0.500
Cl3 Cl 0.000 0.500 0.500
F1 F 0.000 0.500 0.000
# Crystal system ... trigonal
# Uncorrected formation energy ... -1.0771 eV/atom
# Magnetization ... 2.529 μB per formula unit
# Calculated density ... 6.74 Mg/m³
# SG ... No. 166